# 1
{
  "formula": "SrLi2ScCr",
  "functional": "GGA-PBE",
  "state": "relaxed",
  "cell": [[4.770, 0.000, 0.000], [0.000, 4.770, 0.000], [0.000, 0.000, 4.911]],
  "species": ["Sr", "Li", "Li", "Sc", "Cr"],
  "fractional_positions": [[0.000, 0.000, 0.000], [0.000, 0.500, 0.000], [0.500, 0.000, 0.000], [0.500, 0.500, 0.500], [0.000, 0.000, 0.500]],
  "delta_e_f_kj_per_mol_atoms": 136.6
}


# 2
{
  "formula": "MgTlPt2",
  "functional": "GGA-PBE",
  "state": "relaxed",
  "cell": [[4.423, -1.510, 0.000], [4.423, 1.510, 0.000], [-0.945, 0.000, 5.495]],
  "species": ["Mg", "Tl", "Pt", "Pt"],
  "fractional_positions": [[0.000, 0.000, 0.000], [0.500, 0.500, 0.500], [0.260, 0.260, 0.780], [0.740, 0.740, 0.220]],
  "delta_e_f_kj_per_mol_atoms": -24.8
}


# 3
{
  "formula": "TmScAs2",
  "functional": "GGA-PBE",
  "state": "relaxed",
  "cell": [[1.988, 1.148, 6.478], [-1.988, 1.148, 6.478], [0.000, -2.295, 6.478]],
  "species": ["Tm", "Sc", "As", "As"],
  "fractional_positions": [[0.000, 0.000, 0.000], [0.500, 0.500, 0.500], [0.246, 0.246, 0.246], [0.754, 0.754, 0.754]],
  "delta_e_f_kj_per_mol_atoms": -138.3
}


# 4
{
  "formula": "DyTm2Ga",
  "functional": "GGA-PBE",
  "state": "relaxed",
  "cell": [[1.725, 0.996, 11.156], [-1.725, 0.996, 11.156], [0.000, -1.991, 11.156]],
  "species": ["Dy", "Tm", "Tm", "Ga"],
  "fractional_positions": [[0.000, 0.000, 0.000], [0.102, 0.102, 0.102], [0.898, 0.898, 0.898], [0.500, 0.500, 0.500]],
  "delta_e_f_kj_per_mol_atoms": 0.7
}


# 5
{
  "formula": "BaCa2Hf2O7",
  "functional": "GGA-PBE",
  "state": "relaxed",
  "cell": [[-2.171, 9.288, 2.175], [2.171, -9.288, 2.175], [2.171, 9.288, -2.175]],
  "species": ["Ba", "Ca", "Ca", "Hf", "Hf", "O", "O", "O", "O", "O", "O", "O"],
  "fractional_positions": [[0.000, 0.000, 0.000], [0.247, 0.497, 0.749], [0.748, 0.497, 0.251], [0.390, 0.000, 0.390], [0.610, 0.000, 0.610], [0.109, 0.496, 0.613], [0.276, 0.997, 0.278], [0.384, 0.497, 0.887], [0.495, 0.995, 0.500], [0.610, 0.497, 0.113], [0.719, 0.997, 0.722], [0.883, 0.496, 0.387]],
  "formation_energy_uncorrected_ev_per_atom": -3.21
}


# 6
{
  "formula": "BeNi2Te",
  "functional": "GGA-PBE",
  "state": "relaxed",
  "cell": [[2.992, 0.000, 0.000], [0.000, 3.500, 0.000], [-1.279, 0.000, 5.248]],
  "species": ["Be", "Ni", "Ni", "Te"],
  "fractional_positions": [[0.000, 0.000, 0.000], [0.368, 0.500, 0.200], [0.632, 0.500, 0.800], [0.000, 0.000, 0.500]],
  "formation_energy_uncorrected_ev_per_atom": 0.15
}


# 7
{
  "formula": "HoH3Ir",
  "functional": "GGA-PBE",
  "state": "relaxed",
  "cell": [[5.809, 0.000, 0.000], [0.000, 5.017, 0.000], [0.000, 0.000, 7.683]],
  "species": ["Ho", "Ho", "Ho", "Ho", "H", "H", "H", "H", "H", "H", "H", "H", "H", "H", "H", "H", "Ir", "Ir", "Ir", "Ir"],
  "fractional_positions": [[0.233, 0.250, 0.081], [0.267, 0.750, 0.581], [0.733, 0.250, 0.419], [0.767, 0.750, 0.919], [0.042, 0.073, 0.298], [0.042, 0.427, 0.298], [0.249, 0.250, 0.609], [0.251, 0.750, 0.109], [0.458, 0.573, 0.798], [0.458, 0.927, 0.798], [0.542, 0.073, 0.202], [0.542, 0.427, 0.202], [0.749, 0.250, 0.891], [0.751, 0.750, 0.391], [0.958, 0.573, 0.702], [0.958, 0.927, 0.702], [0.006, 0.750, 0.256], [0.494, 0.250, 0.756], [0.506, 0.750, 0.244], [0.994, 0.250, 0.744]],
  "dft_energy_ev_per_cell": -103.5
}


# 8
{
  "formula": "BiAsAu4",
  "functional": "GGA-PBE",
  "state": "relaxed",
  "cell": [[0.000, 3.976, 3.976], [3.976, 0.000, 3.976], [3.976, 3.976, 0.000]],
  "species": ["Bi", "As", "Au", "Au", "Au", "Au"],
  "fractional_positions": [[0.000, 0.000, 0.000], [0.750, 0.750, 0.750], [0.375, 0.375, 0.375], [0.375, 0.375, 0.875], [0.375, 0.875, 0.375], [0.875, 0.375, 0.375]],
  "delta_e_f_kj_per_mol_atoms": 10.8
}


# 9
{
  "formula": "ScMn2CoAg",
  "functional": "GGA-PBE",
  "state": "relaxed",
  "cell": [[4.621, 0.000, 0.000], [0.000, 4.621, 0.000], [0.000, 0.000, 4.600]],
  "species": ["Sc", "Mn", "Mn", "Co", "Ag"],
  "fractional_positions": [[0.000, 0.000, 0.000], [0.000, 0.500, 0.500], [0.500, 0.000, 0.500], [0.500, 0.500, 0.000], [0.500, 0.500, 0.500]],
  "delta_e_f_kj_per_mol_atoms": 168.7
}


# 10
{
  "formula": "NaTlZnHg2",
  "functional": "GGA-PBE",
  "state": "relaxed",
  "cell": [[5.112, 0.000, 0.000], [0.000, 5.112, 0.000], [0.000, 0.000, 5.582]],
  "species": ["Na", "Tl", "Zn", "Hg", "Hg"],
  "fractional_positions": [[0.000, 0.000, 0.000], [0.500, 0.500, 0.000], [0.000, 0.000, 0.500], [0.000, 0.500, 0.500], [0.500, 0.000, 0.500]],
  "delta_e_f_kj_per_mol_atoms": 6.7
}


# 11
{
  "formula": "ZrTlRu",
  "functional": "GGA-PBE",
  "state": "relaxed",
  "cell": [[0.000, 3.226, 3.226], [3.226, 0.000, 3.226], [3.226, 3.226, 0.000]],
  "species": ["Zr", "Tl", "Ru"],
  "fractional_positions": [[0.000, 0.000, 0.000], [0.500, 0.500, 0.500], [0.250, 0.250, 0.250]],
  "delta_e_f_kj_per_mol_atoms": 10.4
}


# 12
{
  "formula": "RbTl2FeIr",
  "functional": "GGA-PBE",
  "state": "relaxed",
  "cell": [[5.142, 0.000, 0.000], [0.000, 5.142, 0.000], [0.000, 0.000, 5.648]],
  "species": ["Rb", "Tl", "Tl", "Fe", "Ir"],
  "fractional_positions": [[0.000, 0.000, 0.000], [0.000, 0.500, 0.500], [0.500, 0.000, 0.500], [0.000, 0.000, 0.500], [0.500, 0.500, 0.000]],
  "delta_e_f_kj_per_mol_atoms": 127.3
}


| no. | DOS(E_F) (states/eV per cell) | magnetization (μB/f.u.) |
| --- | --- | --- |
| 1 | 6.31 | 0.00 |
| 2 | 1.75 | 0.00 |
| 3 | 0.61 | 0.00 |
| 4 | 5.48 | 0.82 |
| 5 | 0.00 | 0.00 |
| 6 | 1.65 | 0.00 |
| 7 | 3.55 | 0.00 |
| 8 | 2.24 | 0.00 |
| 9 | 12.93 | 1.48 |
| 10 | 1.54 | 0.00 |
| 11 | 3.08 | 0.00 |
| 12 | 10.30 | 3.66 |